A plane-wave DFT calculation with PBE-GGA was carried out for an optimized crystal structure of B2O3F.

Cell and atoms, written as POSCAR:
```
B2O3F
1.0
8.1523 -1.2590 5.9518
2.6713 2.9171 1.6187
6.6343 -2.2756 10.6018
B O F
4 6 2
Cartesian
9.2229 -0.0774 6.6074 B
5.0259 0.9849 4.2466 B
10.6623 1.4919 7.4786 B
13.8286 -0.0966 14.7593 B
0.7988 -0.2083 1.0084 O
9.1207 -0.6049 11.0767 O
9.2468 1.0038 7.6589 O
5.9185 1.9571 4.5927 O
11.9526 -2.1333 13.8142 O
14.8996 -2.3103 16.1086 O
6.1808 0.6112 7.6951 F
12.0789 -0.3895 10.9559 F
```

## Properties
E_form (uncorrected), eV/atom: -1.9798
Crystal system: triclinic
Distance to the lowest polymorph of the same formula, eV/f.u.: 0.000
DFT total energy, eV/atom: -6.997